# V2CdBrF PBE with a Hubbard U relaxed
# Total DFT energy (no corrections), hartree per atom: -0.1141
# Crystal system: tetragonal
# Spin magnetization, μB/cell: 8.01
# DOS(E_F), states/eV/cell: 3.3
data_V2CdBrF
_chemical_formula_sum 'V2 Cd1 Br1 F1'
_cell_length_a 4.990
_cell_length_b 4.990
_cell_length_c 6.090
_cell_angle_alpha 90.00
_cell_angle_beta 90.00
_cell_angle_gamma 90.00
_symmetry_space_group_name_H-M 'P 4/m m m'
_symmetry_Int_Tables_number 123
_symmetry_space_group_name_Hall '-P 4 2'
loop_
_atom_site_label
_atom_site_fract_x
_atom_site_fract_y
_atom_site_fract_z
_atom_site_occupancy
V1 0.000 0.500 0.000 1
Cd1 0.000 0.000 0.500 1
Br1 0.000 0.000 0.000 1
F1 0.500 0.500 0.500 1